Record 1
DFT (GGA-PBE) results for crystalline CeDyCdAu at its relaxed geometry.

a = 5.259 Å, b = 5.259 Å, c = 5.259 Å
α = 60.00°, β = 60.00°, γ = 60.00°
Atoms (fractional coordinates):
Ce 0.000 0.000 0.000
Dy 0.500 0.500 0.500
Cd 0.750 0.750 0.750
Au 0.250 0.250 0.250

Symmetry: F-43m
Total magnetization in μB per cell: 0.94
DFT formation energy in meV/atom: -425
DOS at the Fermi energy in states/eV/cell: 9.04
Theoretical density in g/cm³: 9.9



Record 2
DFT (GGA-PBE) results for crystalline CaErGaPt at its relaxed geometry.

a = 4.142 Å, b = 6.056 Å, c = 6.056 Å
α = 38.14°, β = 90.00°, γ = 90.00°
Atoms (fractional coordinates):
Ca 0.000 0.000 0.000
Er 0.500 0.708 0.708
Ga 0.500 0.416 0.416
Pt 0.000 0.269 0.269

Symmetry: Amm2
Total magnetization in μB per cell: 0.00
ΔE to the lowest computed polymorph in meV per atom: 0.0
DFT formation energy in meV/atom: -829
DOS at the Fermi energy in states/eV/cell: 2.90
Theoretical density in g/cm³: 8.4



Record 3
DFT (GGA-PBE) results for crystalline TmCuPtPb at its relaxed geometry.

a = 4.834 Å, b = 4.834 Å, c = 4.834 Å
α = 60.00°, β = 60.00°, γ = 60.00°
Atoms (fractional coordinates):
Tm 0.000 0.000 0.000
Cu 0.750 0.750 0.750
Pt 0.250 0.250 0.250
Pb 0.500 0.500 0.500

Symmetry: F-43m
Total magnetization in μB per cell: 0.00
DFT formation energy in meV/atom: -493
DOS at the Fermi energy in states/eV/cell: 3.21
Theoretical density in g/cm³: 13.2



Record 4
DFT (GGA-PBE) results for crystalline La2Ag3 at its relaxed geometry.

a = 14.615 Å, b = 14.615 Å, c = 4.869 Å
α = 90.00°, β = 90.00°, γ = 165.23°
Atoms (fractional coordinates):
La 0.072 0.928 0.750
La 0.207 0.793 0.250
La 0.793 0.207 0.750
La 0.928 0.072 0.250
Ag 0.328 0.672 0.250
Ag 0.382 0.618 0.750
Ag 0.477 0.523 0.750
Ag 0.523 0.477 0.250
Ag 0.618 0.382 0.250
Ag 0.672 0.328 0.750

Symmetry: Cmcm
Total magnetization in μB per cell: 0.00
ΔE to the lowest computed polymorph in meV per atom: 0.0
DFT formation energy in meV/atom: -265
DOS at the Fermi energy in states/eV/cell: 9.48
Theoretical density in g/cm³: 7.5